Entry 1:
A plane-wave DFT calculation with PBE-GGA was carried out for crystalline BeSe2Cl at its relaxed geometry.

Lattice parameters (Å, degrees): 3.237 3.237 7.027 90.00 90.00 90.00
Positions (direct):
Be1 0.000 0.000 0.000
Se1 0.500 0.500 0.175
Se2 0.500 0.500 0.825
Cl1 0.000 0.000 0.500

Summary:
Raw total energy, eV per cell: -11.9
Raw formation energy, eV per formula unit: 0.59
Space-group type: No. 123

***

Entry 2:
A plane-wave DFT calculation with PBE-GGA was carried out for crystalline BeSe4Cl at its relaxed geometry.

Lattice parameters (Å, degrees): 5.647 5.647 5.647 60.00 60.00 60.00
Positions (direct):
Be1 0.000 0.000 0.000
Se1 0.375 0.375 0.375
Se2 0.375 0.375 0.875
Se3 0.375 0.875 0.375
Se4 0.875 0.375 0.375
Cl1 0.750 0.750 0.750

Summary:
Raw total energy, eV per cell: -15.1
Raw formation energy, eV per formula unit: 4.44
Space-group type: No. 216

***

Entry 3:
A plane-wave DFT calculation with PBE-GGA was carried out for crystalline Be3SeCl at its relaxed geometry.

Lattice parameters (Å, degrees): 4.541 4.541 4.541 90.00 90.00 90.00
Positions (direct):
Be1 0.000 0.000 0.500
Be2 0.000 0.500 0.000
Be3 0.500 0.000 0.000
Se1 0.000 0.000 0.000
Cl1 0.500 0.500 0.500

Summary:
Raw total energy, eV per cell: -11.8
Raw formation energy, eV per formula unit: 4.67
Space-group type: No. 221

***

Entry 4:
A plane-wave DFT calculation with PBE-GGA was carried out for crystalline BeSe2Cl at its relaxed geometry.

Lattice parameters (Å, degrees): 3.967 3.967 8.793 90.00 90.00 132.44
Positions (direct):
Be1 0.000 0.000 0.000
Se1 0.000 0.000 0.413
Se2 0.500 0.500 0.196
Cl1 0.500 0.500 0.850

Summary:
Raw total energy, eV per cell: -13.2
Raw formation energy, eV per formula unit: -0.62
Space-group type: No. 35

***

Entry 5:
A plane-wave DFT calculation with PBE-GGA was carried out for crystalline BeSe2Cl at its relaxed geometry.

Lattice parameters (Å, degrees): 6.217 6.217 3.603 90.00 90.00 136.67
Positions (direct):
Be1 0.000 0.000 0.000
Se1 0.000 0.500 0.500
Se2 0.500 0.000 0.500
Cl1 0.500 0.500 0.000

Summary:
Raw total energy, eV per cell: -10.5
Raw formation energy, eV per formula unit: 2.07
Space-group type: No. 65

***

Entry 6:
A plane-wave DFT calculation with PBE-GGA was carried out for crystalline BeSe2Cl at its relaxed geometry.

Lattice parameters (Å, degrees): 5.920 5.920 5.920 148.85 99.72 88.59
Positions (direct):
Be1 0.000 0.000 0.000
Se1 0.562 0.562 0.000
Se2 0.790 0.290 0.500
Cl1 0.150 0.650 0.500

Summary:
Raw total energy, eV per cell: -13.2
Raw formation energy, eV per formula unit: -0.65
Space-group type: No. 44

***

Entry 7:
A plane-wave DFT calculation with PBE-GGA was carried out for crystalline BeSe2Cl at its relaxed geometry.

Lattice parameters (Å, degrees): 4.511 3.257 7.247 90.00 94.30 90.00
Positions (direct):
Be1 0.000 0.000 0.000
Se1 0.244 0.000 0.270
Se2 0.694 0.500 0.242
Cl1 0.020 0.500 0.830

Summary:
Raw total energy, eV per cell: -14.3
Raw formation energy, eV per formula unit: -1.73
Space-group type: No. 6

***

Entry 8:
A plane-wave DFT calculation with PBE-GGA was carried out for crystalline BeSe2Cl at its relaxed geometry.

Lattice parameters (Å, degrees): 3.647 3.647 6.570 90.00 90.00 90.00
Positions (direct):
Be1 0.000 0.000 0.000
Se1 0.000 0.500 0.500
Se2 0.500 0.000 0.500
Cl1 0.500 0.500 0.000

Summary:
Raw total energy, eV per cell: -11.3
Raw formation energy, eV per formula unit: 1.29
Space-group type: No. 123